(1)
Entry from the Alexandria database: a relaxed Ti3Ni7 crystal (PBE-GGA).

Cell and atoms, written as POSCAR:
```
Ti3Ni7
1.0
3.6347 0.0000 0.0000
0.0000 5.1530 0.1013
-1.8173 -1.5815 6.4539
Ti Ni
3 7
direct
0.1934 0.6269 0.3867 Ti
0.8066 0.3731 0.6133 Ti
0.0000 0.0000 0.0000 Ti
0.1991 0.1160 0.3982 Ni
0.5990 0.3072 0.1979 Ni
0.4010 0.6928 0.8021 Ni
0.5974 0.8028 0.1948 Ni
0.4026 0.1972 0.8052 Ni
0.0000 0.5000 0.0000 Ni
0.8009 0.8840 0.6018 Ni
```

Output
- D(E_F) (states/eV per cell) = 5.38
- crystal system = monoclinic
- SG = C2/m
- mass density (g/cm3) = 7.6
- DFT formation energy (meV per atom) = -423



(2)
Entry from the Alexandria database: a relaxed LiSc2PPb crystal (PBE-GGA).

Cell and atoms, written as POSCAR:
```
LiSc2PPb
1.0
-0.5212 2.8055 -4.0674
-4.4662 1.4819 1.5945
1.9268 3.4856 2.1573
Li Sc P Pb
1 2 1 1
direct
0.0000 0.0000 0.5000 Li
0.0000 0.5000 0.0000 Sc
0.5000 0.0000 0.0000 Sc
0.0000 0.0000 0.0000 P
0.5000 0.5000 0.5000 Pb
```

Output
- D(E_F) (states/eV per cell) = 1.39
- crystal system = tetragonal
- SG = P4/mmm
- mass density (g/cm3) = 5.0
- DFT formation energy (meV per atom) = -696



(3)
Entry from the Alexandria database: a relaxed K2LiTl2Se4 crystal (PBE-GGA).

Cell and atoms, written as POSCAR:
```
K2LiTl2Se4
1.0
-1.1649 1.6585 -4.1900
-7.0369 -2.4814 3.5594
0.9486 7.1371 2.5613
Se Tl K Li
4 2 2 1
direct
0.7830 0.5660 0.7888 Se
0.2170 0.4340 0.2112 Se
0.4902 0.9805 0.2431 Se
0.5098 0.0195 0.7569 Se
0.6507 0.3014 0.0372 Tl
0.3493 0.6986 0.9628 Tl
0.1207 0.2414 0.5555 K
0.8793 0.7586 0.4445 K
0.0000 0.0000 0.0000 Li
```

Output
- energy relative to the elements, uncorrected (meV/atom) = -681
- D(E_F) (states/eV per cell) = 2.67
- crystal system = monoclinic
- SG = C2/m
- mass density (g/cm3) = 4.9



(4)
Entry from the Alexandria database: a relaxed CaThCu4 crystal (PBE-GGA).

Cell and atoms, written as POSCAR:
```
CaThCu4
1.0
-0.2603 -4.2334 3.2488
4.3951 -1.7202 2.5037
0.4940 0.6502 5.2799
Th Cu Ca
1 4 1
direct
0.0000 0.0000 0.0000 Th
0.6235 0.6235 0.1295 Cu
0.6235 0.6235 0.6235 Cu
0.1295 0.6235 0.6235 Cu
0.6235 0.1295 0.6235 Cu
0.2500 0.2500 0.2500 Ca
```

Output
- D(E_F) (states/eV per cell) = 3.93
- crystal system = cubic
- energy relative to the lowest polymorph listed for this composition (eV/atom) = 0.079
- SG = F-43m
- mass density (g/cm3) = 8.1
- DFT formation energy (meV per atom) = -34



(5)
Entry from the Alexandria database: a relaxed KAlAg3 crystal (PBE-GGA).

Cell and atoms, written as POSCAR:
```
KAlAg3
1.0
5.3068 0.0000 0.0000
0.0000 6.4430 -2.6956
0.0000 -0.8255 7.0746
Ag K Al
6 2 2
direct
0.2500 0.9527 0.3175 Ag
0.7500 0.6352 0.6825 Ag
0.2500 0.3648 0.3175 Ag
0.7500 0.0473 0.6825 Ag
0.2500 0.8127 0.6255 Ag
0.7500 0.1873 0.3745 Ag
0.2500 0.4062 0.8123 K
0.7500 0.5938 0.1877 K
0.0000 0.0000 0.0000 Al
0.5000 0.0000 0.0000 Al
```

Output
- D(E_F) (states/eV per cell) = 3.71
- crystal system = orthorhombic
- energy relative to the lowest polymorph listed for this composition (eV/atom) = 0.000
- SG = Cmcm
- mass density (g/cm3) = 5.6
- DFT formation energy (meV per atom) = 18



(6)
Entry from the Alexandria database: a relaxed BaLiCa crystal (PBE-GGA).

Cell and atoms, written as POSCAR:
```
BaLiCa
1.0
-5.6069 1.7761 1.6598
-4.8631 -1.8351 -3.2139
-3.9007 -4.0449 2.4019
Li Ca Ba
1 1 1
direct
0.5000 0.5000 0.5000 Li
0.0000 0.0000 0.0000 Ca
0.7500 0.7500 0.7500 Ba
```

Output
- D(E_F) (states/eV per cell) = 3.41
- crystal system = cubic
- energy relative to the lowest polymorph listed for this composition (eV/atom) = 0.523
- SG = F-43m
- mass density (g/cm3) = 1.9
- DFT formation energy (meV per atom) = 554